No. 1
## AcEuBiPd (PBE)

Data for a relaxed AcEuBiPd crystal.

Properties
The calculation puts the volume at 492 Å³ per cell. The value obtained for the magnetization is 1.759 μB per atom. The energy relative to the elements comes out at -2.85 eV/f.u.

a = 7.8930 Å, b = 7.8930 Å, c = 7.8930 Å
α = 90.00°, β = 90.00°, γ = 90.00°
With the nearest neighbours (Å) after each atom.
Atoms (fractional coordinates):
1 Ac 0.0000 0.0000 0.0000  4 Bi 3.42, 4 Pd 3.42
2 Ac 0.0000 0.5000 0.5000  4 Bi 3.42, 4 Pd 3.42
3 Ac 0.5000 0.0000 0.5000  4 Bi 3.42, 4 Pd 3.42
4 Ac 0.5000 0.5000 0.0000  4 Bi 3.42, 4 Pd 3.42
5 Eu 0.0000 0.0000 0.5000  4 Pd 3.42, 4 Bi 3.42
6 Eu 0.0000 0.5000 0.0000  4 Pd 3.42, 4 Bi 3.42
7 Eu 0.5000 0.0000 0.0000  4 Pd 3.42, 4 Bi 3.42
8 Eu 0.5000 0.5000 0.5000  4 Pd 3.42, 4 Bi 3.42
9 Bi 0.2500 0.2500 0.2500  4 Ac 3.42, 4 Eu 3.42
10 Bi 0.2500 0.7500 0.7500  4 Ac 3.42, 4 Eu 3.42
11 Bi 0.7500 0.2500 0.7500  4 Ac 3.42, 4 Eu 3.42
12 Bi 0.7500 0.7500 0.2500  4 Ac 3.42, 4 Eu 3.42
13 Pd 0.2500 0.2500 0.7500  4 Ac 3.42, 4 Eu 3.42
14 Pd 0.2500 0.7500 0.2500  4 Ac 3.42, 4 Eu 3.42
15 Pd 0.7500 0.2500 0.2500  4 Ac 3.42, 4 Eu 3.42
16 Pd 0.7500 0.7500 0.7500  4 Ac 3.42, 4 Eu 3.42

No. 2
## AcPmEuBi (PBE)

Data for a relaxed AcPmEuBi crystal.

Properties
The calculation puts the volume at 552 Å³ per cell. The value obtained for the magnetization is 2.061 μB per atom. The energy relative to the elements comes out at -0.73 eV/f.u.

a = 8.2016 Å, b = 8.2016 Å, c = 8.2016 Å
α = 90.00°, β = 90.00°, γ = 90.00°
With the nearest neighbours (Å) after each atom.
Atoms (fractional coordinates):
1 Ac 0.0000 0.0000 0.0000  4 Pm 3.55, 4 Eu 3.55
2 Ac 0.0000 0.5000 0.5000  4 Eu 3.55, 4 Pm 3.55
3 Ac 0.5000 0.0000 0.5000  4 Eu 3.55, 4 Pm 3.55
4 Ac 0.5000 0.5000 0.0000  4 Eu 3.55, 4 Pm 3.55
5 Pm 0.2500 0.2500 0.7500  4 Ac 3.55, 4 Bi 3.55
6 Pm 0.2500 0.7500 0.2500  4 Ac 3.55, 4 Bi 3.55
7 Pm 0.7500 0.2500 0.2500  4 Ac 3.55, 4 Bi 3.55
8 Pm 0.7500 0.7500 0.7500  4 Bi 3.55, 4 Ac 3.55
9 Eu 0.2500 0.2500 0.2500  4 Ac 3.55, 4 Bi 3.55
10 Eu 0.2500 0.7500 0.7500  4 Ac 3.55, 4 Bi 3.55
11 Eu 0.7500 0.2500 0.7500  4 Ac 3.55, 4 Bi 3.55
12 Eu 0.7500 0.7500 0.2500  4 Ac 3.55, 4 Bi 3.55
13 Bi 0.0000 0.0000 0.5000  4 Pm 3.55, 4 Eu 3.55
14 Bi 0.0000 0.5000 0.0000  4 Pm 3.55, 4 Eu 3.55
15 Bi 0.5000 0.0000 0.0000  4 Pm 3.55, 4 Eu 3.55
16 Bi 0.5000 0.5000 0.5000  4 Pm 3.55, 4 Eu 3.55

No. 3
## AcPrEuBi (PBE)

Data for a relaxed AcPrEuBi crystal.

Properties
The calculation puts the volume at 561 Å³ per cell. The value obtained for the magnetization is 2.043 μB per atom. The energy relative to the elements comes out at -0.78 eV/f.u.

a = 8.2490 Å, b = 8.2490 Å, c = 8.2490 Å
α = 90.00°, β = 90.00°, γ = 90.00°
With the nearest neighbours (Å) after each atom.
Atoms (fractional coordinates):
1 Ac 0.0000 0.0000 0.0000  4 Pr 3.57, 4 Eu 3.57
2 Ac 0.0000 0.5000 0.5000  4 Pr 3.57, 4 Eu 3.57
3 Ac 0.5000 0.0000 0.5000  4 Pr 3.57, 4 Eu 3.57
4 Ac 0.5000 0.5000 0.0000  4 Pr 3.57, 4 Eu 3.57
5 Pr 0.2500 0.2500 0.7500  4 Ac 3.57, 4 Bi 3.57
6 Pr 0.2500 0.7500 0.2500  4 Ac 3.57, 4 Bi 3.57
7 Pr 0.7500 0.2500 0.2500  4 Ac 3.57, 4 Bi 3.57
8 Pr 0.7500 0.7500 0.7500  4 Ac 3.57, 4 Bi 3.57
9 Eu 0.2500 0.2500 0.2500  4 Ac 3.57, 4 Bi 3.57
10 Eu 0.2500 0.7500 0.7500  4 Ac 3.57, 4 Bi 3.57
11 Eu 0.7500 0.2500 0.7500  4 Ac 3.57, 4 Bi 3.57
12 Eu 0.7500 0.7500 0.2500  4 Ac 3.57, 4 Bi 3.57
13 Bi 0.0000 0.0000 0.5000  4 Eu 3.57, 4 Pr 3.57
14 Bi 0.0000 0.5000 0.0000  4 Eu 3.57, 4 Pr 3.57
15 Bi 0.5000 0.0000 0.0000  4 Eu 3.57, 4 Pr 3.57
16 Bi 0.5000 0.5000 0.5000  4 Eu 3.57, 4 Pr 3.57

No. 4
## AcEuSnBi (PBE)

Data for a relaxed AcEuSnBi crystal.

Properties
The calculation puts the volume at 545 Å³ per cell. The value obtained for the magnetization is 1.761 μB per atom. The energy relative to the elements comes out at -2.54 eV/f.u.

a = 8.1676 Å, b = 8.1676 Å, c = 8.1676 Å
α = 90.00°, β = 90.00°, γ = 90.00°
With the nearest neighbours (Å) after each atom.
Atoms (fractional coordinates):
1 Ac 0.0000 0.0000 0.0000  4 Sn 3.54, 4 Bi 3.54
2 Ac 0.0000 0.5000 0.5000  4 Sn 3.54, 4 Bi 3.54
3 Ac 0.5000 0.0000 0.5000  4 Sn 3.54, 4 Bi 3.54
4 Ac 0.5000 0.5000 0.0000  4 Sn 3.54, 4 Bi 3.54
5 Eu 0.0000 0.0000 0.5000  4 Sn 3.54, 4 Bi 3.54
6 Eu 0.0000 0.5000 0.0000  4 Sn 3.54, 4 Bi 3.54
7 Eu 0.5000 0.0000 0.0000  4 Sn 3.54, 4 Bi 3.54
8 Eu 0.5000 0.5000 0.5000  4 Sn 3.54, 4 Bi 3.54
9 Sn 0.2500 0.2500 0.2500  4 Ac 3.54, 4 Eu 3.54
10 Sn 0.2500 0.7500 0.7500  4 Ac 3.54, 4 Eu 3.54
11 Sn 0.7500 0.2500 0.7500  4 Ac 3.54, 4 Eu 3.54
12 Sn 0.7500 0.7500 0.2500  4 Ac 3.54, 4 Eu 3.54
13 Bi 0.2500 0.2500 0.7500  4 Ac 3.54, 4 Eu 3.54
14 Bi 0.2500 0.7500 0.2500  4 Ac 3.54, 4 Eu 3.54
15 Bi 0.7500 0.2500 0.2500  4 Ac 3.54, 4 Eu 3.54
16 Bi 0.7500 0.7500 0.7500  4 Ac 3.54, 4 Eu 3.54